## Tm2TlHg4 (PBE)

Data for a geometry-optimized Tm2TlHg4 structure.

Lattice parameters (Å, degrees): 5.2227 5.2227 8.0128 70.98 70.98 60.00
Fractional coordinates of all 7 atoms:
Tm (0.7200, 0.7200, 0.8400)
Tm (0.2800, 0.2800, 0.1600)
Tl (0.0000, 0.0000, 0.0000)
Hg (0.8576, 0.8576, 0.4273)
Hg (0.1424, 0.1424, 0.5727)
Hg (0.5768, 0.5768, 0.2697)
Hg (0.4232, 0.4232, 0.7303)

Properties
energy of formation from the pure elements: -1.7 eV/f.u.
density of states at the Fermi level: 0.44 states/eV per atom
final energy: -2.03 eV/atom

## CrOs2Ru4 (PBE)

Data for a geometry-optimized CrOs2Ru4 structure.

Lattice parameters (Å, degrees): 6.8203 6.8203 5.0027 136.97 111.63 101.16
Fractional coordinates of all 7 atoms:
Cr (0.1354, 0.9562, 0.0915)
Os (0.6505, 0.2250, 0.3690)
Os (0.1440, 0.7185, 0.3690)
Ru (0.4758, 0.5534, 0.3664)
Ru (0.1455, 0.4426, 0.5880)
Ru (0.8130, 0.8906, 0.3664)
Ru (0.6360, 0.2141, 0.8501)

Properties
energy of formation from the pure elements: 2.4 eV/f.u.
density of states at the Fermi level: 1.10 states/eV per atom
final energy: -9.54 eV/atom

## LaCeSi2Pd5 (PBE)

Data for a geometry-optimized LaCeSi2Pd5 structure.

Lattice parameters (Å, degrees): 4.2794 4.2794 9.0342 90.00 90.00 90.00
Fractional coordinates of all 9 atoms:
La (0.0000, 0.0000, 0.5000)
Ce (0.0000, 0.0000, 0.0000)
Si (0.5000, 0.5000, 0.1308)
Si (0.5000, 0.5000, 0.8692)
Pd (0.0000, 0.5000, 0.2644)
Pd (0.5000, 0.0000, 0.2644)
Pd (0.0000, 0.5000, 0.7356)
Pd (0.5000, 0.0000, 0.7356)
Pd (0.5000, 0.5000, 0.5000)

Properties
formation energy without anion corrections: -857.5 meV per atom
density of states at the Fermi level: 0.82 states/eV per atom
final energy: -6.15 eV/atom